Entry 1:
This record from the Alexandria database describes a relaxed structure of LaIn4Ru. The functional is PBE.

Cell and atoms, written as extended XYZ:
```
12
Lattice="-3.166 -1.879 -2.486 -3.445 -2.481 6.262 -4.564 7.226 0.352" Properties=species:S:1:pos:R:3 pbc="T T T"
La -5.518 3.910 4.072
La -2.491 0.834 2.542
In -2.282 3.613 0.176
In 0.000 0.000 0.000
In -8.261 2.136 4.937
In -2.914 0.730 -0.810
In -4.238 -2.177 3.073
In -6.937 5.042 1.054
In -5.934 0.508 3.204
In -5.241 2.358 0.924
Ru -4.124 4.915 1.538
Ru -3.886 -0.170 5.076
```

SG: Pmma, No. 51
Formation energy, meV/atom: -341.7

Entry 2:
This record from the Alexandria database describes a relaxed structure of La7In2Ru2. The functional is PBE.

Cell and atoms, written as extended XYZ:
```
11
Lattice="4.074 0.000 0.874 1.197 8.491 4.355 0.071 -0.498 9.604" Properties=species:S:1:pos:R:3 pbc="T T T"
La 3.441 0.063 3.823
La 4.148 3.155 10.461
La 2.123 -0.371 9.967
La 3.060 4.174 5.601
La 2.518 5.716 8.125
La 1.579 5.367 12.506
La 0.743 1.249 6.468
In 4.037 6.876 10.977
In 1.483 2.549 3.020
Ru 0.977 6.741 5.377
Ru 2.500 2.636 8.211
```

Offset from the most stable computed form, meV per atom: 0.0
SG: Imm2, No. 44
Formation energy, meV/atom: -292.3

Entry 3:
This record from the Alexandria database describes a relaxed structure of LaInRu2. The functional is PBE.

Cell and atoms, written as extended XYZ:
```
4
Lattice="-1.155 -4.267 -3.175 3.608 -1.611 3.744 -1.569 -1.941 1.825" Properties=species:S:1:pos:R:3 pbc="T T T"
In -1.362 -3.104 -0.675
La 1.019 -1.776 2.784
Ru 0.000 0.000 0.000
Ru 1.226 -2.939 0.284
```

SG: C2/m, No. 12
Formation energy, meV/atom: 179.6

Entry 4:
This record from the Alexandria database describes a relaxed structure of LaInRu2. The functional is PBE.

Cell and atoms, written as extended XYZ:
```
4
Lattice="-0.276 1.051 -2.769 -0.699 -3.377 -1.212 -7.397 1.115 1.161" Properties=species:S:1:pos:R:3 pbc="T T T"
In -3.279 0.494 0.515
La -6.297 -0.287 -1.079
Ru -0.462 0.070 0.072
Ru -2.034 -0.930 -1.748
```

SG: Pmm2, No. 25
Formation energy, meV/atom: 24.2

Entry 5:
This record from the Alexandria database describes a relaxed structure of LaIn3Ru. The functional is PBE.

Cell and atoms, written as extended XYZ:
```
5
Lattice="-2.787 -3.898 -1.795 4.220 -2.877 -0.303 -0.778 -1.646 4.782" Properties=species:S:1:pos:R:3 pbc="T T T"
Ru 0.000 0.000 0.000
In 2.110 -1.439 -0.152
In -0.389 -0.823 2.391
In -1.393 -1.949 -0.898
La 0.327 -4.211 1.341
```

SG: Pm-3m, No. 221
Formation energy, meV/atom: -185.7

Entry 6:
This record from the Alexandria database describes a relaxed structure of La2InRu. The functional is PBE.

Cell and atoms, written as extended XYZ:
```
4
Lattice="-0.955 -3.263 4.688 -4.740 -3.122 -1.151 5.284 0.755 -2.246" Properties=species:S:1:pos:R:3 pbc="T T T"
In -1.151 -2.780 -0.814
La -5.414 -6.070 3.362
La -3.129 -3.508 1.943
Ru 0.741 -2.851 2.105
```

SG: Immm, No. 71
Formation energy, meV/atom: -267.0

Entry 7:
This record from the Alexandria database describes a relaxed structure of La6InRu. The functional is PBE.

Cell and atoms, written as extended XYZ:
```
8
Lattice="6.594 0.388 0.000 1.876 8.252 0.000 0.938 4.126 5.086" Properties=species:S:1:pos:R:3 pbc="T T T"
La 6.940 7.701 3.116
La 6.002 3.575 1.969
La 3.407 9.192 3.116
La 2.469 5.065 1.969
La 5.392 6.816 0.000
La 3.078 1.824 0.000
In 0.000 0.000 0.000
Ru 4.235 4.320 0.000
```

SG: C2/m, No. 12
Formation energy, meV/atom: -167.0

Entry 8:
This record from the Alexandria database describes a relaxed structure of LaInRuS2. The functional is PBE.

Cell and atoms, written as extended XYZ:
```
5
Lattice="-1.610 2.531 -3.762 -0.820 -4.214 -2.485 -4.464 -0.184 1.786" Properties=species:S:1:pos:R:3 pbc="T T T"
Ru 0.000 0.000 0.000
S -2.232 -0.092 0.893
S -0.805 1.266 -1.881
In -0.410 -2.107 -1.242
La -3.447 -0.933 -2.230
```

Uncorrected formation energy, eV/atom: -0.33
SG: P4/mmm, No. 123

In eV per atom, the calculated total energy values for the records above are, in order, -4.535 -5.612 -6.375 -6.530 -4.669 -5.734 -5.364 -5.365.